The following is a GGA+U calculation of crystalline LaTi2MoO8 at its relaxed geometry, from Alexandria.

a = 4.9663 Å, b = 4.9663 Å, c = 6.9352 Å
α = 97.14°, β = 97.14°, γ = 79.69°
Last column: nearest neighbours and their distance in Å.
Fractional coordinates of all 12 atoms:
La: 0.0000 0.0000 0.0000  6 O 2.40-2.53
Ti: 0.4395 0.4395 0.7745  4 O 1.82-1.90
Ti: 0.5605 0.5605 0.2255  4 O 1.82-1.90
Mo: 0.0000 0.0000 0.5000  6 O 1.88-2.07
O: 0.2168 0.7755 0.7185  1 Ti 1.88, 1 Mo 2.07
O: 0.2245 0.7832 0.2815  1 Ti 1.88, 1 Mo 2.07
O: 0.2497 0.2497 0.5595  1 Mo 1.88, 1 Ti 1.90
O: 0.3306 0.3306 0.9897  1 Ti 1.82
O: 0.6694 0.6694 0.0103  1 Ti 1.82
O: 0.7503 0.7503 0.4405  1 Mo 1.88, 1 Ti 1.90
O: 0.7755 0.2168 0.7185  1 Ti 1.88, 1 Mo 2.07
O: 0.7832 0.2245 0.2815  1 Ti 1.88, 1 Mo 2.07

Summary:
- E_tot (eV per atom) = -8.31